Here is a geometry-optimized Eu2SI structure from the Alexandria database. Energies are from GGA-PBE.

Lattice parameters (Å, degrees): 4.2751 4.2751 22.8387 90.00 90.00 120.00
Space group R-3m (No. 166, hexagonal axes)
One atom of each set of equivalent atoms:
Eu1 0.0000 0.0000 0.2323 [6 per cell]
S1 0.0000 0.0000 0.5000 [3 per cell]
I1 0.0000 0.0000 0.0000 [3 per cell]

Properties
Uncorrected formation energy, eV per atom: -1.66

Here is a geometry-optimized EuSI structure from the Alexandria database. Energies are from GGA-PBE.

Lattice parameters (Å, degrees): 3.922 3.922 11.670 90.00 90.00 90.00
Space group I4mm (No. 107)
One atom of each set of equivalent atoms:
Eu1 0.000 0.000 0.000 [2 per cell]
S1 0.000 0.000 0.573 [2 per cell]
I1 0.000 0.000 0.302 [2 per cell]

Properties
Polymorph energy (0 for the lowest one), meV/atom: 53.8
Uncorrected formation energy, eV per atom: -1.26

Here is a geometry-optimized SrEuSbI structure from the Alexandria database. Energies are from GGA-PBE.

Lattice parameters (Å, degrees): 8.173 8.173 8.173 90.00 90.00 90.00
Space group F-43m (No. 216)
One atom of each set of equivalent atoms:
Sr1 0.000 0.000 0.000 [4 per cell]
Eu1 0.000 0.000 0.500 [4 per cell]
Sb1 0.250 0.250 0.250 [4 per cell]
I1 0.250 0.250 0.750 [4 per cell]

Properties
Uncorrected formation energy, eV per atom: -1.13

Here is a geometry-optimized EuScI2 structure from the Alexandria database. Energies are from GGA-PBE.

Lattice parameters (Å, degrees): 3.9796 3.9796 31.7351 90.00 90.00 120.00
Space group R-3m (No. 166, hexagonal axes)
One atom of each set of equivalent atoms:
Eu1 0.0000 0.0000 0.0000 [3 per cell]
Sc1 0.0000 0.0000 0.5000 [3 per cell]
I1 0.0000 0.0000 0.1075 [6 per cell]

Properties
Uncorrected formation energy, eV per atom: -0.71

Here is a geometry-optimized Eu2SeI structure from the Alexandria database. Energies are from GGA-PBE.

Lattice parameters (Å, degrees): 4.4118 4.4118 22.7927 90.00 90.00 120.00
Space group R-3m (No. 166, hexagonal axes)
One atom of each set of equivalent atoms:
Eu1 0.0000 0.0000 0.2359 [6 per cell]
Se1 0.0000 0.0000 0.5000 [3 per cell]
I1 0.0000 0.0000 0.0000 [3 per cell]

Properties
Uncorrected formation energy, eV per atom: -1.60

Here is a geometry-optimized EuSeI structure from the Alexandria database. Energies are from GGA-PBE.

Lattice parameters (Å, degrees): 4.023 4.023 11.667 90.00 90.00 90.00
Space group I4mm (No. 107)
One atom of each set of equivalent atoms:
Eu1 0.000 0.000 0.000 [2 per cell]
Se1 0.000 0.000 0.590 [2 per cell]
I1 0.000 0.000 0.312 [2 per cell]

Properties
Uncorrected formation energy, eV per atom: -1.24

Here is a geometry-optimized Eu2SiI structure from the Alexandria database. Energies are from GGA-PBE.

Lattice parameters (Å, degrees): 3.757 3.757 8.429 90.00 90.00 90.00
Space group P4/mmm (No. 123)
One atom of each set of equivalent atoms:
Eu1 0.000 0.000 0.212 [2 per cell]
Si1 0.500 0.500 0.000 [1 per cell]
I1 0.500 0.500 0.500 [1 per cell]

Properties
Polymorph energy (0 for the lowest one), meV/atom: 66.4
Uncorrected formation energy, eV per atom: -0.75

Here is a geometry-optimized Eu2SiI structure from the Alexandria database. Energies are from GGA-PBE.

Lattice parameters (Å, degrees): 4.3868 4.3868 23.9742 90.00 90.00 120.00
Space group R-3m (No. 166, hexagonal axes)
One atom of each set of equivalent atoms:
Eu1 0.0000 0.0000 0.2362 [6 per cell]
Si1 0.0000 0.0000 0.5000 [3 per cell]
I1 0.0000 0.0000 0.0000 [3 per cell]

Properties
Polymorph energy (0 for the lowest one), meV/atom: 0.0
Uncorrected formation energy, eV per atom: -0.82

Here is a geometry-optimized Sm2EuI structure from the Alexandria database. Energies are from GGA-PBE.

Lattice parameters (Å, degrees): 3.7110 3.7110 35.9748 90.00 90.00 120.00
Space group R-3m (No. 166, hexagonal axes)
One atom of each set of equivalent atoms:
Sm1 0.0000 0.0000 0.0965 [6 per cell]
Eu1 0.0000 0.0000 0.0000 [3 per cell]
I1 0.0000 0.0000 0.5000 [3 per cell]

Properties
Uncorrected formation energy, eV per atom: -0.14

Here is a geometry-optimized SmEuI2 structure from the Alexandria database. Energies are from GGA-PBE.

Lattice parameters (Å, degrees): 4.0830 4.0830 32.4315 90.00 90.00 120.00
Space group R-3m (No. 166, hexagonal axes)
One atom of each set of equivalent atoms:
Sm1 0.0000 0.0000 0.0000 [3 per cell]
Eu1 0.0000 0.0000 0.5000 [3 per cell]
I1 0.0000 0.0000 0.0969 [6 per cell]

Properties
Uncorrected formation energy, eV per atom: -0.82

Here is a geometry-optimized EuSnI2 structure from the Alexandria database. Energies are from GGA-PBE.

Lattice parameters (Å, degrees): 4.1545 4.1545 33.3419 90.00 90.00 120.00
Space group R-3m (No. 166, hexagonal axes)
One atom of each set of equivalent atoms:
Eu1 0.0000 0.0000 0.0000 [3 per cell]
Sn1 0.0000 0.0000 0.5000 [3 per cell]
I1 0.0000 0.0000 0.0951 [6 per cell]

Properties
Uncorrected formation energy, eV per atom: -0.32

Here is a geometry-optimized Sr5Eu3I12 structure from the Alexandria database. Energies are from GGA-PBE.

Lattice parameters (Å, degrees): 19.689 19.689 19.689 90.00 90.00 90.00
Space group Ia-3d (No. 230)
One atom of each set of equivalent atoms:
Sr1 0.000 0.000 0.000 [16 per cell]
Sr2 0.000 0.250 0.375 [24 per cell]
Eu1 0.000 0.250 0.125 [24 per cell]
I1 0.021 0.074 0.650 [96 per cell]

Properties
Uncorrected formation energy, eV per atom: -1.25